Record 1
A PBEsol-optimized structure of Fe2CuOs, computed with meta-GGA SCAN.

Properties
Density ... 12.9 g/cm³
Symmetry ... No. 123
Formation energy ... 163.2 meV per atom
ΔE to the lowest computed polymorph ... 0 meV/atom

Unit cell a=2.5980 b=2.5980 c=6.9748 alpha=90.00 beta=90.00 gamma=90.00
With the nearest neighbours (Å) after each atom.
Sites, in units of the cell vectors:
1 Os 0.5000 0.5000 0.0000  8 Fe 2.56, 4 Os 2.60
2 Fe 0.0000 0.0000 0.2547  4 Cu 2.51, 4 Os 2.56, 4 Fe 2.60
3 Fe 0.0000 0.0000 0.7453  4 Cu 2.51, 4 Os 2.56, 4 Fe 2.60
4 Cu 0.5000 0.5000 0.5000  8 Fe 2.51, 4 Cu 2.60

***

Record 2
A PBEsol-optimized structure of Fe2CuOs, computed with meta-GGA SCAN.

Properties
Density ... 12.8 g/cm³
Symmetry ... No. 225
Formation energy ... 275.4 meV per atom
ΔE to the lowest computed polymorph ... 112 meV/atom

Unit cell a=4.0582 b=4.0582 c=4.0582 alpha=60.00 beta=60.00 gamma=60.00
With the nearest neighbours (Å) after each atom.
Sites, in units of the cell vectors:
1 Fe 0.7500 0.7500 0.7500  4 Os 2.49, 4 Cu 2.49
2 Fe 0.2500 0.2500 0.2500  4 Os 2.49, 4 Cu 2.49
3 Cu 0.0000 0.0000 0.0000  8 Fe 2.49
4 Os 0.5000 0.5000 0.5000  8 Fe 2.49

***

Record 3
A PBEsol-optimized structure of FeCu2Os, computed with meta-GGA SCAN.

Properties
Density ... 12.8 g/cm³
Symmetry ... No. 12
Formation energy ... 200.4 meV per atom

Unit cell a=2.5389 b=4.4325 c=4.5358 alpha=99.59 beta=106.25 gamma=90.00
With the nearest neighbours (Å) after each atom.
Sites, in units of the cell vectors:
1 Fe 0.5000 0.0000 0.0000  2 Fe 2.54, 4 Os 2.55, 6 Cu 2.58-2.61
2 Os 0.0000 0.5000 0.0000  2 Os 2.54, 4 Fe 2.55, 6 Cu 2.61
3 Cu 0.7510 0.7545 0.5020  6 Cu 2.52-2.59, 3 Fe 2.58-2.61, 3 Os 2.61
4 Cu 0.2490 0.2455 0.4980  6 Cu 2.52-2.59, 3 Fe 2.58-2.61, 3 Os 2.61

***

Record 4
A PBEsol-optimized structure of FeCu2P, computed with meta-GGA SCAN.

Properties
Density ... 7.7 g/cm³
Symmetry ... No. 65
Formation energy ... 152.4 meV per atom

Unit cell a=2.5948 b=4.4619 c=4.4619 alpha=116.68 beta=90.00 gamma=90.00
With the nearest neighbours (Å) after each atom.
Sites, in units of the cell vectors:
1 P 0.5000 0.5000 0.5000  2 Fe 2.34, 8 Cu 2.58, 2 P 2.59
2 Cu 0.0000 0.5000 0.0000  4 Cu 2.34-2.59, 4 Fe 2.58, 4 P 2.58
3 Cu 0.0000 0.0000 0.5000  4 Cu 2.34-2.59, 4 P 2.58, 4 Fe 2.58
4 Fe 0.5000 0.0000 0.0000  2 P 2.34, 8 Cu 2.58, 2 Fe 2.59

***

Record 5
A PBEsol-optimized structure of FeCuP4, computed with meta-GGA SCAN.

Properties
Density ... 5.0 g/cm³
Symmetry ... No. 216
Formation energy ... 853.1 meV per atom

Unit cell a=4.8637 b=4.8637 c=4.8637 alpha=60.00 beta=60.00 gamma=60.00
With the nearest neighbours (Å) after each atom.
Sites, in units of the cell vectors:
1 P 0.1233 0.6256 0.6256  6 P 2.42-2.44
2 P 0.6256 0.1233 0.6256  6 P 2.42-2.44
3 P 0.6256 0.6256 0.1233  6 P 2.42-2.44
4 P 0.6256 0.6256 0.6256  6 P 2.42-2.44
5 Cu 0.2500 0.2500 0.2500  12 P 2.85, 4 Fe 2.98
6 Fe 0.0000 0.0000 0.0000  12 P 2.85, 4 Cu 2.98

***

Record 6
A PBEsol-optimized structure of FeCu2P, computed with meta-GGA SCAN.

Properties
Density ... 7.7 g/cm³
Symmetry ... No. 47
Formation energy ... 136.7 meV per atom

Unit cell a=2.6891 b=3.6165 c=4.7673 alpha=90.00 beta=90.00 gamma=90.00
With the nearest neighbours (Å) after each atom.
Sites, in units of the cell vectors:
1 Cu 0.0000 0.0000 0.2480  2 Cu 2.36-2.40, 4 Fe 2.54, 4 P 2.55
2 Cu 0.0000 0.0000 0.7520  2 Cu 2.36-2.40, 4 Fe 2.54, 4 P 2.55
3 P 0.5000 0.5000 0.5000  2 Fe 2.38, 8 Cu 2.55
4 Fe 0.5000 0.5000 0.0000  2 P 2.38, 8 Cu 2.54

***

Record 7
A PBEsol-optimized structure of FeCuP, computed with meta-GGA SCAN.

Properties
Density ... 7.3 g/cm³
Symmetry ... No. 156
Formation energy ... 45.9 meV per atom

Unit cell a=2.9087 b=3.6756 c=3.6756 alpha=120.00 beta=90.00 gamma=90.00
With the nearest neighbours (Å) after each atom.
Sites, in units of the cell vectors:
1 Cu 0.0128 0.0000 0.0000  6 P 2.51-2.64, 6 Fe 2.57-2.58
2 Fe 0.5164 0.6667 0.3333  3 P 2.13
3 P 0.4708 0.3333 0.6667  3 Fe 2.13

***

Record 8
A PBEsol-optimized structure of FeCu2P, computed with meta-GGA SCAN.

Properties
Density ... 8.0 g/cm³
Symmetry ... No. 99
Formation energy ... 81.9 meV per atom

Unit cell a=2.7800 b=2.7800 c=5.7610 alpha=90.00 beta=90.00 gamma=90.00
With the nearest neighbours (Å) after each atom.
Sites, in units of the cell vectors:
1 Fe 0.0000 0.0000 0.5361  4 P 2.23
2 Cu 0.5000 0.5000 0.2527  4 Cu 2.47, 4 Fe 2.56, 1 P 2.68
3 Cu 0.0000 0.0000 0.9937  4 Cu 2.47, 4 P 2.53, 1 Fe 2.64
4 P 0.5000 0.5000 0.7174  4 Fe 2.23